Entry 1:
## La2BiPb (PBE)

Data for La2BiPb after structural relaxation.

```
La2BiPb
1.0
-1.562 2.396 1.891
-4.330 0.567 -4.296
-3.315 -4.345 2.768
Pb Bi La
1 1 2
direct
0.500 0.000 0.000
0.500 0.500 0.500
0.000 0.000 0.500
0.000 0.500 0.000
```

Properties
Energy relative to the elements ... -0.71 eV per atom
Polymorph energy (0 for the lowest one) ... 115 meV per atom
DFT total energy ... -20.29 eV for the cell shown

Entry 2:
## La2BiPb (PBE)

Data for La2BiPb after structural relaxation.

```
La2BiPb
1.0
-4.001 -2.115 0.997
2.098 -4.256 -0.609
2.146 1.929 12.699
La Bi Pb
4 2 2
direct
0.750 0.684 0.368
0.250 0.316 0.632
0.750 0.938 0.875
0.250 0.062 0.125
0.250 0.188 0.376
0.750 0.812 0.624
0.250 0.454 0.907
0.750 0.546 0.093
```

Properties
Energy relative to the elements ... -0.83 eV per atom
Polymorph energy (0 for the lowest one) ... 0 meV per atom
DFT total energy ... -41.50 eV for the cell shown

Entry 3:
## La2Bi3Pb (PBE)

Data for La2Bi3Pb after structural relaxation.

```
La2Bi3Pb
1.0
-1.787 -3.856 1.948
1.493 -3.463 -5.484
6.551 2.076 4.510
La Bi Pb
2 3 1
direct
0.663 0.163 0.327
0.337 0.837 0.673
0.327 0.327 0.654
0.000 0.000 0.000
0.673 0.673 0.346
0.000 0.500 0.000
```

Properties
Energy relative to the elements ... -0.58 eV per atom
DFT total energy ... -28.71 eV for the cell shown

Entry 4:
## La2Bi2Pb (PBE)

Data for La2Bi2Pb after structural relaxation.

```
La2Bi2Pb
1.0
8.816 0.000 0.000
0.000 8.816 0.000
0.000 0.000 4.401
Pb Bi La
2 4 4
direct
0.000 0.000 0.000
0.500 0.500 0.000
0.162 0.662 0.500
0.662 0.838 0.500
0.838 0.338 0.500
0.338 0.162 0.500
0.352 0.852 0.000
0.852 0.648 0.000
0.648 0.148 0.000
0.148 0.352 0.000
```

Properties
Energy relative to the elements ... -0.63 eV per atom
Polymorph energy (0 for the lowest one) ... 93 meV per atom
DFT total energy ... -48.91 eV for the cell shown